First-principles (PBE-GGA) data for a geometry-optimized HoTmAl2Ir4 structure, as listed in OQMD.

Properties
total moment: 0.037 Bohr magnetons per cell
E_tot: -7.23 eV/atom

Geometry as POSCAR:
```
HoTmAl2Ir4
1.0
4.2844 0.0000 0.0000
-2.1422 3.7104 0.0000
0.0000 0.0000 9.0694
Ho Tm Al Ir
1 1 2 4
direct
0.0000 0.0000 0.0000
0.6667 0.3333 0.5000
0.3333 0.6667 0.2508
0.3333 0.6667 0.7492
0.0000 0.0000 0.3374
0.0000 0.0000 0.6626
0.6667 0.3333 0.1665
0.6667 0.3333 0.8335
```